ZrCr2Fe2 | GGA-PBEsol | optimized geometry

Geometry as CIF:
```
data_ZrCr2Fe2
_cell_length_a 3.812
_cell_length_b 3.812
_cell_length_c 9.195
_cell_angle_alpha 90.00
_cell_angle_beta 90.00
_cell_angle_gamma 90.00
_space_group_name_H-M_alt 'I 4/m m m'
_space_group_IT_number 139
_space_group_name_Hall '-I 4 2'
loop_
_atom_site_label
_atom_site_type_symbol
_atom_site_fract_x
_atom_site_fract_y
_atom_site_fract_z
Zr1 Zr 0.000 0.000 0.000
Cr1 Cr 0.000 0.500 0.250
Fe1 Fe 0.000 0.000 0.376
```

Properties
ΔE_f: 0.1 eV/f.u.
Crystal system: tetragonal
Magnetization: 0.0 μB/cell
Mass density: 7.63 g/cm3

ReNiPt | GGA-PBEsol | optimized geometry

Geometry as CIF:
```
data_ReNiPt
_cell_length_a 2.695
_cell_length_b 2.695
_cell_length_c 10.986
_cell_angle_alpha 90.00
_cell_angle_beta 90.00
_cell_angle_gamma 90.00
_space_group_name_H-M_alt 'I 4 m m'
_space_group_IT_number 107
_space_group_name_Hall 'I 4 -2'
loop_
_atom_site_label
_atom_site_type_symbol
_atom_site_fract_x
_atom_site_fract_y
_atom_site_fract_z
Re1 Re 0.000 0.000 0.000
Ni1 Ni 0.000 0.000 0.651
Pt1 Pt 0.000 0.000 0.322
```

Properties
Energy relative to the lowest polymorph listed for this composition: 11.5 meV/atom
ΔE_f: -0.3 eV/f.u.
Crystal system: tetragonal
Magnetization: 0.0 μB/cell
Mass density: 18.31 g/cm3

Li3PdAu | GGA-PBEsol | optimized geometry

Geometry as CIF:
```
data_Li3PdAu
_cell_length_a 4.610
_cell_length_b 4.610
_cell_length_c 4.610
_cell_angle_alpha 90.00
_cell_angle_beta 90.00
_cell_angle_gamma 90.00
_space_group_name_H-M_alt 'P m -3 m'
_space_group_IT_number 221
_space_group_name_Hall '-P 4 2 3'
loop_
_atom_site_label
_atom_site_type_symbol
_atom_site_fract_x
_atom_site_fract_y
_atom_site_fract_z
Li1 Li 0.000 0.000 0.500
Pd1 Pd 0.500 0.500 0.500
Au1 Au 0.000 0.000 0.000
```

Properties
ΔE_f: 0.8 eV/f.u.
Crystal system: cubic
Magnetization: 0.0 μB/cell
Mass density: 5.49 g/cm3

In order of appearance, electronic total energy = -9.49, -8.91, -3.00 eV/atom.